Entry 1:
Compound: PmNd3Sc4
Source: the Alexandria database
Functional: PBE-GGA
Structure: optimized geometry

Properties
The value obtained for the total moment is 0.0 μB/f.u. The value obtained for the density of states at the Fermi level is 1.776 states/eV/atom. The value obtained for the theoretical density is 5.295 g/cm³. As for the formation energy: 59 meV per atom.

Unit cell a=10.8567 b=7.4440 c=5.8787 alpha=90.00 beta=90.00 gamma=90.00
Space group Pmn2_1 (No. 31)
Unique sites:
Pm 0.0000 0.1453 0.0000 (multiplicity 2)
Nd 0.0000 0.8551 0.5007 (multiplicity 2)
Nd 0.2499 0.1447 0.3771 (multiplicity 4)
Sc 0.0000 0.4000 0.5178 (multiplicity 2)
Sc 0.0000 0.5999 0.0180 (multiplicity 2)
Sc 0.2497 0.4001 0.8596 (multiplicity 4)

***

Entry 2:
Compound: BeRuSe2
Source: the Alexandria database
Functional: PBE-GGA
Structure: optimized geometry

Properties
The value obtained for the total moment is 0.0 μB/f.u. The value obtained for the density of states at the Fermi level is 0.687 states/eV/atom. The value obtained for the theoretical density is 7.200 g/cm³. For the formation energy (no corrections), the calculation gives 0.72 eV per atom.

Unit cell a=6.2762 b=6.2762 c=6.2762 alpha=90.00 beta=90.00 gamma=90.00
Space group F-43m (No. 216)
Unique sites:
Be 0.0000 0.0000 0.0000 (multiplicity 4)
Ru 0.2500 0.2500 0.2500 (multiplicity 4)
Se 0.0000 0.0000 0.5000 (multiplicity 4)
Se 0.2500 0.2500 0.7500 (multiplicity 4)

***

Entry 3:
Compound: Sr2TlCdIn6
Source: the Alexandria database
Functional: PBE-GGA
Structure: optimized geometry

Properties
The value obtained for the total moment is 0.0 μB/f.u. The value obtained for the density of states at the Fermi level is 0.528 states/eV/atom. The value obtained for the theoretical density is 5.815 g/cm³. As for the formation energy: -97 meV per atom.

Unit cell a=6.2673 b=6.2673 c=59.4870 alpha=90.00 beta=90.00 gamma=120.00
Space group R-3m (No. 166, hexagonal axes)
Unique sites:
Sr 0.0000 0.0000 0.0959 (multiplicity 6)
Sr 0.0000 0.0000 0.3204 (multiplicity 6)
Tl 0.0000 0.0000 0.4184 (multiplicity 6)
Cd 0.0000 0.0000 0.0000 (multiplicity 3)
Cd 0.0000 0.0000 0.5000 (multiplicity 3)
In 0.0016 0.5008 0.7089 (multiplicity 18)
In 0.0134 0.5067 0.8719 (multiplicity 18)

***

Entry 4:
Compound: BaCdCu3
Source: the Alexandria database
Functional: PBE-GGA
Structure: optimized geometry

Properties
The value obtained for the total moment is 0.0 μB/f.u. As for the energy above the most stable polymorph in this dataset: 0.9892 eV/atom. The value obtained for the density of states at the Fermi level is 0.913 states/eV/atom. The value obtained for the theoretical density is 3.880 g/cm³. As for the formation energy: 1251 meV per atom.

Unit cell a=5.7335 b=5.7335 c=5.7335 alpha=90.00 beta=90.00 gamma=90.00
Space group Pm-3m (No. 221)
Unique sites:
Ba 0.0000 0.0000 0.0000 (multiplicity 1)
Cd 0.5000 0.5000 0.5000 (multiplicity 1)
Cu 0.0000 0.0000 0.5000 (multiplicity 3)

***

Entry 5:
Compound: NbFeAs3
Source: the Alexandria database
Functional: PBE-GGA
Structure: optimized geometry

Properties
The value obtained for the total moment is 3.2 μB/f.u. As for the energy above the most stable polymorph in this dataset: 0.1020 eV/atom. The value obtained for the density of states at the Fermi level is 1.725 states/eV/atom. The value obtained for the theoretical density is 5.022 g/cm³. As for the formation energy: 773 meV per atom.

Unit cell a=4.9801 b=4.9801 c=4.9801 alpha=90.00 beta=90.00 gamma=90.00
Space group Pm-3m (No. 221)
Unique sites:
Nb 0.0000 0.0000 0.0000 (multiplicity 1)
Fe 0.5000 0.5000 0.5000 (multiplicity 1)
As 0.0000 0.0000 0.5000 (multiplicity 3)

***

Entry 6:
Compound: Ca2Tb4Sm5
Source: the Alexandria database
Functional: PBE-GGA
Structure: optimized geometry

Properties
The value obtained for the total moment is 0.0 μB/f.u. The value obtained for the density of states at the Fermi level is 1.376 states/eV/atom. The value obtained for the theoretical density is 6.369 g/cm³. As for the formation energy: 202 meV per atom.

Unit cell a=12.4758 b=6.9991 c=10.6571 alpha=90.00 beta=124.67 gamma=90.00
Space group C2/m (No. 12)
Unique sites:
Ca 0.0848 0.0000 0.2905 (multiplicity 4)
Tb 0.0848 0.5000 0.3593 (multiplicity 4)
Tb 0.2293 0.0000 0.0215 (multiplicity 4)
Sm 0.0000 0.5000 0.0000 (multiplicity 2)
Sm 0.1608 0.2295 0.6691 (multiplicity 8)

***

Entry 7:
Compound: ReS
Source: the Alexandria database
Functional: PBE-GGA
Structure: optimized geometry

Properties
The value obtained for the total moment is 0.0 μB/f.u. As for the energy above the most stable polymorph in this dataset: 0.2766 eV/atom. The value obtained for the density of states at the Fermi level is 0.414 states/eV/atom. The value obtained for the theoretical density is 7.423 g/cm³. For the formation energy (no corrections), the calculation gives 0.21 eV per atom.

Unit cell a=10.4332 b=10.4332 c=3.5884 alpha=90.00 beta=90.00 gamma=90.00
Space group P4/m (No. 83)
Unique sites:
Re 0.0376 0.6133 0.0000 (multiplicity 4)
Re 0.1036 0.2845 0.5000 (multiplicity 4)
S 0.1240 0.7429 0.5000 (multiplicity 4)
S 0.1825 0.4163 0.0000 (multiplicity 4)

***

Entry 8:
Compound: Bi3BrF
Source: the Alexandria database
Functional: PBE-GGA
Structure: optimized geometry

Properties
The value obtained for the total moment is 0.0 μB/f.u. As for the energy above the most stable polymorph in this dataset: 0.0000 eV/atom. The value obtained for the density of states at the Fermi level is 1.106 states/eV/atom. The value obtained for the theoretical density is 8.668 g/cm³. For the formation energy (no corrections), the calculation gives -0.12 eV per atom.

Unit cell a=5.1807 b=5.1807 c=5.1807 alpha=90.00 beta=90.00 gamma=90.00
Space group Pm-3m (No. 221)
Unique sites:
Bi 0.0000 0.0000 0.5000 (multiplicity 3)
Br 0.5000 0.5000 0.5000 (multiplicity 1)
F 0.0000 0.0000 0.0000 (multiplicity 1)

***

Entry 9:
Compound: CeDy2N
Source: the Alexandria database
Functional: PBE-GGA
Structure: optimized geometry

Properties
The value obtained for the total moment is 0.8 μB/f.u. As for the energy above the most stable polymorph in this dataset: 0.4772 eV/atom. The value obtained for the density of states at the Fermi level is 1.690 states/eV/atom. The value obtained for the theoretical density is 9.353 g/cm³. For the formation energy (no corrections), the calculation gives -0.19 eV per atom.

Unit cell a=3.1333 b=3.1333 c=8.6648 alpha=90.00 beta=90.00 gamma=90.00
Space group P4/mmm (No. 123)
Unique sites:
Ce 0.0000 0.0000 0.0000 (multiplicity 1)
Dy 0.5000 0.5000 0.3368 (multiplicity 2)
N 0.0000 0.0000 0.5000 (multiplicity 1)

***

Entry 10:
Compound: HoSc2N
Source: the Alexandria database
Functional: PBE-GGA
Structure: optimized geometry

Properties
The value obtained for the total moment is 0.0 μB/f.u. As for the energy above the most stable polymorph in this dataset: 0.5091 eV/atom. The value obtained for the density of states at the Fermi level is 1.157 states/eV/atom. The value obtained for the theoretical density is 6.072 g/cm³. For the formation energy (no corrections), the calculation gives -0.29 eV per atom.

Unit cell a=2.9951 b=2.9951 c=8.1953 alpha=90.00 beta=90.00 gamma=90.00
Space group P4/mmm (No. 123)
Unique sites:
Ho 0.0000 0.0000 0.0000 (multiplicity 1)
Sc 0.5000 0.5000 0.3454 (multiplicity 2)
N 0.0000 0.0000 0.5000 (multiplicity 1)

***

Entry 11:
Compound: Pr2Y6In
Source: the Alexandria database
Functional: PBE-GGA
Structure: optimized geometry

Properties
The value obtained for the total moment is 0.0 μB/f.u. As for the energy above the most stable polymorph in this dataset: 0.0000 eV/atom. The value obtained for the density of states at the Fermi level is 1.532 states/eV/atom. The value obtained for the theoretical density is 5.377 g/cm³. As for the formation energy: -95 meV per atom.

Unit cell a=11.9464 b=6.2739 c=15.3626 alpha=90.00 beta=93.75 gamma=90.00
Space group C2/c (No. 15)
Unique sites:
Pr 0.2261 0.1368 0.2007 (multiplicity 8)
Y 0.0528 0.3158 0.3610 (multiplicity 8)
Y 0.1133 0.1653 0.9658 (multiplicity 8)
Y 0.1586 0.3283 0.5822 (multiplicity 8)
In 0.0000 0.1841 0.7500 (multiplicity 4)

***

Entry 12:
Compound: Ba2CdSb
Source: the Alexandria database
Functional: PBE-GGA
Structure: optimized geometry

Properties
The value obtained for the total moment is 0.4 μB/f.u. As for the energy above the most stable polymorph in this dataset: 0.2195 eV/atom. The value obtained for the density of states at the Fermi level is 1.033 states/eV/atom. The value obtained for the theoretical density is 4.634 g/cm³. For the formation energy (no corrections), the calculation gives -0.49 eV per atom.

Unit cell a=5.0749 b=5.0749 c=7.0799 alpha=90.00 beta=90.00 gamma=90.00
Space group P4mm (No. 99)
Unique sites:
Ba 0.0000 0.0000 0.0000 (multiplicity 1)
Ba 0.5000 0.5000 0.4970 (multiplicity 1)
Cd 0.0000 0.0000 0.5010 (multiplicity 1)
Sb 0.5000 0.5000 0.9967 (multiplicity 1)

***

Q: Among the records above, which one has the highest total moment?
A: NbFeAs3

***

Q: total moment of number 1 (PmNd3Sc4)?
A: 0.0 μB/f.u.